Compound: CoSb2As
Source: Alexandria
Functional: PBE-GGA
Structure: optimized geometry

Structure (POSCAR):
```
CoSb2As
1.0
4.0914 0.0000 0.0000
0.0000 4.0914 0.0000
0.0000 0.0000 9.9972
Co Sb As
2 4 2
Direct
0.0000 0.0000 0.0000 Co
0.5000 0.5000 0.5000 Co
0.0000 0.0000 0.5000 Sb
0.0000 0.5000 0.7500 Sb
0.5000 0.0000 0.2500 Sb
0.5000 0.5000 0.0000 Sb
0.0000 0.5000 0.2500 As
0.5000 0.0000 0.7500 As
```

Summary:
As for the uncorrected formation energy: 217 kJ/mol of formula units.

Compound: CaSc2Cl
Source: Alexandria
Functional: PBE-GGA
Structure: optimized geometry

Structure (POSCAR):
```
CaSc2Cl
1.0
3.4728 0.0000 0.0000
-1.7364 3.0075 0.0000
0.0000 0.0000 28.7872
Ca Sc Cl
3 6 3
Direct
0.0000 0.0000 0.0000 Ca
0.3333 0.6667 0.6667 Ca
0.6667 0.3333 0.3333 Ca
0.0000 0.0000 0.2338 Sc
0.0000 0.0000 0.7662 Sc
0.3333 0.6667 0.4329 Sc
0.3333 0.6667 0.9004 Sc
0.6667 0.3333 0.0996 Sc
0.6667 0.3333 0.5671 Sc
0.0000 0.0000 0.5000 Cl
0.3333 0.6667 0.1667 Cl
0.6667 0.3333 0.8333 Cl
```

Summary:
As for the distance to the lowest polymorph of the same formula: 213 meV per atom. As for the uncorrected formation energy: -168 kJ/mol of formula units.

Compound: ZnMoW2
Source: Alexandria
Functional: PBE-GGA
Structure: optimized geometry

Structure (POSCAR):
```
ZnMoW2
1.0
2.6929 0.0000 0.0000
0.0000 4.4623 0.0000
-1.0137 0.0000 5.2277
Zn Mo W
1 1 2
Direct
0.0000 0.0000 0.0000 Zn
0.7438 0.5000 0.2477 Mo
0.2502 0.5000 0.7456 W
0.5060 0.0000 0.4979 W
```

Summary:
The calculation puts the energy of formation at 0.187 eV/atom.

Number 1: Fermi-level density of states 9.73 states/eV/cell. Number 2: Fermi-level density of states 15.38 states/eV/cell. Number 3: Fermi-level density of states 1.75 states/eV/cell.